1.
Compound: Ca2Au2Br
Source: Alexandria
Functional: PBE
Structure: optimized geometry

```
Ca2Au2Br
1.0
8.422 0.000 0.000
0.000 8.422 0.000
0.000 0.000 3.678
Ca Au Br
4 4 2
direct
0.177 0.323 0.000 Ca
0.323 0.823 0.000 Ca
0.677 0.177 0.000 Ca
0.823 0.677 0.000 Ca
0.118 0.618 0.500 Au
0.382 0.118 0.500 Au
0.618 0.882 0.500 Au
0.882 0.382 0.500 Au
0.000 0.000 0.500 Br
0.500 0.500 0.500 Br
```

Calculated values
DOS at the Fermi energy	0.327	states/eV per atom
volume	26.1	A^3/atom
energy relative to the elements, uncorrected	-4.5	eV/f.u.
total DFT energy (no corrections)	-33.39	eV per cell
symmetry	P4/mbm, No. 127


2.
Compound: Zr7Pb
Source: Alexandria
Functional: PBE
Structure: optimized geometry

```
Zr7Pb
1.0
0.000 4.521 4.521
4.521 0.000 4.521
4.521 4.521 0.000
Zr Pb
7 1
direct
0.000 0.000 0.000 Zr
0.000 0.000 0.500 Zr
0.000 0.500 0.000 Zr
0.000 0.500 0.500 Zr
0.500 0.000 0.000 Zr
0.500 0.000 0.500 Zr
0.500 0.500 0.000 Zr
0.500 0.500 0.500 Pb
```

Calculated values
DOS at the Fermi energy	1.194	states/eV per atom
volume	23.1	A^3/atom
ΔH_f (0 K)	-0.056	eV/atom
total DFT energy (no corrections)	-64.00	eV per cell
symmetry	Fm-3m, No. 225


3.
Compound: Pr2NpS3
Source: Alexandria
Functional: PBE
Structure: optimized geometry

```
Pr2NpS3
1.0
3.501 -6.061 0.000
3.501 6.061 0.000
-2.331 0.000 6.604
Pr Np S
4 2 6
direct
0.000 0.000 0.000 Pr
0.163 0.837 0.500 Pr
0.500 0.500 0.500 Pr
0.837 0.163 0.500 Pr
0.333 0.667 0.000 Np
0.667 0.333 0.000 Np
0.080 0.423 0.240 S
0.265 0.265 0.764 S
0.423 0.080 0.240 S
0.577 0.920 0.760 S
0.735 0.735 0.236 S
0.920 0.577 0.760 S
```

Calculated values
DOS at the Fermi energy	1.654	states/eV per atom
volume	23.4	A^3/atom
energy relative to the elements, uncorrected	-10.8	eV/f.u.
total DFT energy (no corrections)	-91.34	eV per cell
symmetry	C2/m, No. 12